A plane-wave DFT calculation with GGA-PBE was carried out for a geometry-optimized LuGaOs structure.

Summary:
- Total moment: 0.0000 μB per atom
- Total energy: -0.243 hartree per atom
- Energy of formation: -1.03 eV per formula unit
- Symmetry: P-6m2
- V: 18.77 Å³ per atom

Lattice parameters (Å, degrees): 3.450 4.342 4.342 120.00 90.00 90.00
Element x y z (fractional)
Lu: 0.667 0.333 0.667
Os: 0.167 0.000 0.000
Ga: 0.167 0.667 0.333

---

A plane-wave DFT calculation with GGA-PBE was carried out for a geometry-optimized TaCoW2 structure.

Summary:
- Total moment: 0.1074 μB per atom
- ΔE to the lowest computed polymorph: 0.310 eV per atom
- Total energy: -0.400 hartree per atom
- Energy of formation: 1.35 eV per formula unit
- Symmetry: R-3m
- V: 15.60 Å³ per atom

Lattice parameters (Å, degrees): 9.383 9.383 9.383 17.11 17.11 17.11
Last column: magnetic moment on the atom in μB.
Element x y z (fractional)
Co: 0.250 0.250 0.250  0.47
Ta: 0.750 0.750 0.750  0.00
W: 0.992 0.992 0.992  -0.01
W: 0.508 0.508 0.508  -0.01

---

A plane-wave DFT calculation with GGA-PBE was carried out for a geometry-optimized Zn7Ag2Au structure.

Summary:
- Total moment: 0.0000 μB per atom
- ΔE to the lowest computed polymorph: 0.000 eV per atom
- Total energy: -0.067 hartree per atom
- Energy of formation: -0.25 eV per formula unit
- Symmetry: Cm
- V: 16.48 Å³ per atom

Lattice parameters (Å, degrees): 4.323 4.754 10.227 65.03 89.99 117.05
Element x y z (fractional)
Zn: 0.736 0.472 0.579
Zn: 0.670 0.340 0.847
Zn: 0.018 0.037 0.740
Zn: 0.020 0.040 0.295
Zn: 0.300 0.599 0.413
Zn: 0.319 0.639 0.971
Zn: 0.596 0.191 0.122
Ag: 0.369 0.739 0.668
Ag: 0.665 0.329 0.349
Au: 0.975 0.950 0.030

---

A plane-wave DFT calculation with GGA-PBE was carried out for a geometry-optimized Ti2VC3 structure.

Summary:
- Total moment: 0.0000 μB per atom
- Total energy: -0.347 hartree per atom
- Energy of formation: -4.07 eV per formula unit
- Symmetry: Immm
- V: 9.77 Å³ per atom

Lattice parameters (Å, degrees): 3.024 4.266 5.242 114.01 106.77 90.00
Element x y z (fractional)
Ti: 0.333 0.833 0.665
Ti: 0.667 0.167 0.335
V: 0.000 0.500 0.000
C: 0.663 0.663 0.326
C: 0.000 0.000 0.000
C: 0.337 0.337 0.674

---

A plane-wave DFT calculation with GGA-PBE was carried out for a geometry-optimized BaOsBr2 structure.

Summary:
- Total moment: 0.7659 μB per atom
- ΔE to the lowest computed polymorph: 0.370 eV per atom
- Total energy: -0.141 hartree per atom
- Symmetry: I-4m2
- Formation energy (no corrections): 0.29 eV per atom
- V: 29.65 Å³ per atom

Lattice parameters (Å, degrees): 6.730 6.730 6.730 141.23 141.23 55.99
Last column: magnetic moment on the atom in μB.
Element x y z (fractional)
Os: 0.500 0.500 0.000  2.63
Ba: 0.750 0.250 0.500  -0.02
Br: 0.000 0.000 0.000  0.07
Br: 0.250 0.750 0.500  0.02

---

A plane-wave DFT calculation with GGA-PBE was carried out for a geometry-optimized KLiSi structure.

Summary:
- Total moment: 0.0000 μB per atom
- ΔE to the lowest computed polymorph: 0.013 eV per atom
- Total energy: -0.106 hartree per atom
- Symmetry: P-1
- Formation energy (no corrections): -0.08 eV per atom
- V: 32.81 Å³ per atom

Lattice parameters (Å, degrees): 3.913 5.155 9.845 97.61 90.14 90.00
Element x y z (fractional)
K: 0.748 0.794 0.683
K: 0.252 0.206 0.317
Li: 0.751 0.640 0.088
Li: 0.249 0.360 0.912
Si: 0.250 0.872 0.968
Si: 0.750 0.128 0.032